Entry 1:
Entry from Alexandria: crystalline CsTaB2 at its relaxed geometry (GGA-PBE).

Results
Energy of formation from the pure elements, meV/atom: 2350
Relative energy among the computed polymorphs, eV/atom: 1.1659
Total magnetic moment, μB per formula unit: 0.00
Calculated total energy, eV per atom: -4.165

CIF file:
```
data_CsTaB2
_chemical_formula_sum 'Cs4 Ta4 B8'
_cell_length_a 6.4224
_cell_length_b 6.4224
_cell_length_c 6.4224
_cell_angle_alpha 90.00
_cell_angle_beta 90.00
_cell_angle_gamma 90.00
_symmetry_space_group_name_H-M 'F m -3 m'
_symmetry_Int_Tables_number 225
_symmetry_space_group_name_Hall '-F 4 2 3'
loop_
_atom_site_label
_atom_site_fract_x
_atom_site_fract_y
_atom_site_fract_z
Cs1 0.0000 0.0000 0.0000
Ta1 0.0000 0.0000 0.5000
B1 0.2500 0.2500 0.2500
```

***

Entry 2:
Entry from Alexandria: crystalline TlNi2Cl at its relaxed geometry (GGA-PBE).

Results
Relative energy among the computed polymorphs, eV/atom: 0.3790
Total magnetic moment, μB per formula unit: 0.53
Formation energy (no corrections), eV/atom: 0.453
Calculated total energy, eV per atom: -3.491

CIF file:
```
data_TlNi2Cl
_chemical_formula_sum 'Tl2 Ni4 Cl2'
_cell_length_a 5.9882
_cell_length_b 8.5087
_cell_length_c 3.2347
_cell_angle_alpha 90.00
_cell_angle_beta 122.15
_cell_angle_gamma 90.00
_symmetry_space_group_name_H-M 'C 1 2/m 1'
_symmetry_Int_Tables_number 12
_symmetry_space_group_name_Hall '-C 2y'
loop_
_atom_site_label
_atom_site_fract_x
_atom_site_fract_y
_atom_site_fract_z
Tl1 0.0000 0.0000 0.0000
Ni1 0.2500 0.2500 0.5000
Cl1 0.0000 0.5000 0.0000
```

***

> Which formula does entry 1 have?

CsTaB2

***

> Number 1 is which compound?

CsTaB2

***

> Among the records above, which one has the highest total magnetic moment?

TlNi2Cl